Entry 1:
This record from Alexandria describes crystalline Pr5Dy2Bi4 at its relaxed geometry. The functional is PBE.

## Properties
ΔH_f (0 K): -554 meV/atom
Energy: -4.975 eV per atom

a = 19.438 Å, b = 4.542 Å, c = 8.605 Å
α = 90.00°, β = 97.36°, γ = 90.00°
Space group C2/m (No. 12)
Symmetry-distinct sites (fractional):
Pr  0.000  0.000  0.000
Pr  0.166  0.500  0.842
Pr  0.209  0.500  0.363
Dy  0.084  0.000  0.516
Bi  0.002  0.500  0.283
Bi  0.165  0.000  0.106

=====

Entry 2:
This record from Alexandria describes crystalline PrDyBi at its relaxed geometry. The functional is PBE.

## Properties
ΔH_f (0 K): -304 meV/atom
Energy: -4.725 eV per atom

a = 5.2655 Å, b = 5.2655 Å, c = 4.1279 Å
α = 90.00°, β = 90.00°, γ = 120.00°
Space group P3m1 (No. 156)
Symmetry-distinct sites (fractional):
Pr  0.0000  0.0000  0.0000
Dy  0.3333  0.6667  0.4754
Bi  0.6667  0.3333  0.6198

=====

Entry 3:
This record from Alexandria describes crystalline Pr8DyBi6 at its relaxed geometry. The functional is PBE.

## Properties
ΔH_f (0 K): -599 meV/atom
Energy: -5.007 eV per atom

a = 8.4038 Å, b = 8.4038 Å, c = 26.4670 Å
α = 90.00°, β = 90.00°, γ = 120.00°
Space group R-3 (No. 148, hexagonal axes)
Symmetry-distinct sites (fractional):
Pr  0.0000  0.0000  0.1668
Pr  0.0021  0.3411  0.3781
Dy  0.0000  0.0000  0.5000
Bi  0.0014  0.3259  0.5655

=====

Entry 4:
This record from Alexandria describes crystalline Pr2Dy2Bi5 at its relaxed geometry. The functional is PBE.

## Properties
ΔH_f (0 K): -686 meV/atom
Energy: -4.927 eV per atom

a = 16.360 Å, b = 8.350 Å, c = 8.533 Å
α = 90.00°, β = 90.00°, γ = 90.00°
Space group Cmce (No. 64)
Symmetry-distinct sites (fractional):
Pr  0.193  0.000  0.000
Dy  0.000  0.155  0.341
Bi  0.000  0.000  0.000
Bi  0.136  0.149  0.649

=====

Entry 5:
This record from Alexandria describes crystalline Pr2DyBi at its relaxed geometry. The functional is PBE.

## Properties
ΔH_f (0 K): -406 meV/atom
Energy: -4.916 eV per atom
E above lowest polymorph: 0.0 meV per atom

a = 4.968 Å, b = 4.968 Å, c = 5.021 Å
α = 90.00°, β = 90.00°, γ = 90.00°
Space group P4/mmm (No. 123)
Symmetry-distinct sites (fractional):
Pr  0.000  0.500  0.000
Dy  0.000  0.000  0.500
Bi  0.500  0.500  0.500

=====

Entry 6:
This record from Alexandria describes crystalline Pr2DyBi4 at its relaxed geometry. The functional is PBE.

## Properties
ΔH_f (0 K): -648 meV/atom
Energy: -4.889 eV per atom

a = 4.516 Å, b = 4.516 Å, c = 11.940 Å
α = 90.00°, β = 90.00°, γ = 90.00°
Space group P-4m2 (No. 115)
Symmetry-distinct sites (fractional):
Pr  0.000  0.500  0.214
Dy  0.000  0.000  0.500
Bi  0.000  0.000  0.000
Bi  0.000  0.500  0.678
Bi  0.500  0.500  0.000

=====

Entry 7:
This record from Alexandria describes crystalline Pr2DyPuBi4 at its relaxed geometry. The functional is PBE.

## Properties
ΔH_f (0 K): -767 meV/atom
Energy: -6.269 eV per atom

a = 7.917 Å, b = 4.582 Å, c = 7.924 Å
α = 90.00°, β = 109.44°, γ = 90.00°
Space group P2/m (No. 10)
Symmetry-distinct sites (fractional):
Pr  0.000  0.000  0.000
Pr  0.000  0.500  0.500
Dy  0.500  0.000  0.500
Pu  0.500  0.500  0.000
Bi  0.259  0.000  0.752
Bi  0.260  0.500  0.254

=====

Entry 8:
This record from Alexandria describes crystalline PrDyPu2Bi4 at its relaxed geometry. The functional is PBE.

## Properties
ΔH_f (0 K): -610 meV/atom
Energy: -7.306 eV per atom

a = 7.883 Å, b = 4.549 Å, c = 7.884 Å
α = 90.00°, β = 109.47°, γ = 90.00°
Space group P2/m (No. 10)
Symmetry-distinct sites (fractional):
Pr  0.000  0.000  0.000
Dy  0.500  0.500  0.000
Pu  0.000  0.500  0.500
Pu  0.500  0.000  0.500
Bi  0.255  0.000  0.749
Bi  0.257  0.500  0.255

=====

Entry 9:
This record from Alexandria describes crystalline PrDy2PuBi4 at its relaxed geometry. The functional is PBE.

## Properties
ΔH_f (0 K): -743 meV/atom
Energy: -6.223 eV per atom

a = 7.852 Å, b = 4.540 Å, c = 7.858 Å
α = 90.00°, β = 109.46°, γ = 90.00°
Space group P2/m (No. 10)
Symmetry-distinct sites (fractional):
Pr  0.000  0.000  0.000
Dy  0.500  0.000  0.500
Dy  0.500  0.500  0.000
Pu  0.000  0.500  0.500
Bi  0.256  0.000  0.749
Bi  0.258  0.500  0.256

=====

Entry 10:
This record from Alexandria describes crystalline PrDyBiSb at its relaxed geometry. The functional is PBE.

## Properties
Energy: -5.378 eV per atom
Energy relative to the elements, uncorrected: -1.03 eV per atom

a = 4.5166 Å, b = 4.5166 Å, c = 22.1035 Å
α = 90.00°, β = 90.00°, γ = 120.00°
Space group R3m (No. 160, hexagonal axes)
Symmetry-distinct sites (fractional):
Pr  0.0000  0.0000  0.0000
Dy  0.0000  0.0000  0.4961
Bi  0.0000  0.0000  0.2444
Sb  0.0000  0.0000  0.7517

=====

Entry 11:
This record from Alexandria describes crystalline Pr2DyScBi4 at its relaxed geometry. The functional is PBE.

## Properties
ΔH_f (0 K): -843 meV/atom
Energy: -5.346 eV per atom

a = 7.797 Å, b = 4.520 Å, c = 7.825 Å
α = 90.00°, β = 109.55°, γ = 90.00°
Space group P2/m (No. 10)
Symmetry-distinct sites (fractional):
Pr  0.000  0.000  0.000
Pr  0.000  0.500  0.500
Dy  0.500  0.000  0.500
Sc  0.500  0.500  0.000
Bi  0.266  0.500  0.249
Bi  0.270  0.000  0.763

=====

Entry 12:
This record from Alexandria describes crystalline PrDy2ScBi4 at its relaxed geometry. The functional is PBE.

## Properties
ΔH_f (0 K): -808 meV/atom
Energy: -5.288 eV per atom

a = 7.743 Å, b = 4.478 Å, c = 7.755 Å
α = 90.00°, β = 109.49°, γ = 90.00°
Space group P2/m (No. 10)
Symmetry-distinct sites (fractional):
Pr  0.000  0.000  0.000
Dy  0.000  0.500  0.500
Dy  0.500  0.000  0.500
Sc  0.500  0.500  0.000
Bi  0.262  0.500  0.253
Bi  0.263  0.000  0.756

=====

Entry 13:
This record from Alexandria describes crystalline PrDyBiSe at its relaxed geometry. The functional is PBE.

## Properties
Energy: -5.425 eV per atom
Energy relative to the elements, uncorrected: -1.24 eV per atom

a = 4.2577 Å, b = 4.2577 Å, c = 23.0077 Å
α = 90.00°, β = 90.00°, γ = 120.00°
Space group R3m (No. 160, hexagonal axes)
Symmetry-distinct sites (fractional):
Pr  0.0000  0.0000  0.0000
Dy  0.0000  0.0000  0.1631
Bi  0.0000  0.0000  0.5768
Se  0.0000  0.0000  0.7540

=====

Entry 14:
This record from Alexandria describes crystalline PrSm2DyBi5 at its relaxed geometry. The functional is PBE.

## Properties
ΔH_f (0 K): 66 meV/atom
Energy: -4.181 eV per atom

a = 5.595 Å, b = 5.595 Å, c = 11.961 Å
α = 90.00°, β = 90.00°, γ = 90.00°
Space group P4/mmm (No. 123)
Symmetry-distinct sites (fractional):
Pr  0.000  0.000  0.000
Sm  0.500  0.500  0.227
Dy  0.000  0.000  0.500
Bi  0.000  0.000  0.258
Bi  0.000  0.500  0.000
Bi  0.500  0.500  0.500

=====

Entry 15:
This record from Alexandria describes crystalline PrSm2Dy3Bi6 at its relaxed geometry. The functional is PBE.

## Properties
ΔH_f (0 K): -896 meV/atom
Energy: -5.172 eV per atom

a = 19.739 Å, b = 4.533 Å, c = 9.060 Å
α = 90.00°, β = 103.16°, γ = 90.00°
Space group C2/m (No. 12)
Symmetry-distinct sites (fractional):
Pr  0.000  0.000  0.000
Sm  0.167  0.500  0.333
Dy  0.000  0.000  0.500
Dy  0.166  0.500  0.832
Bi  0.001  0.500  0.743
Bi  0.165  0.000  0.586
Bi  0.169  0.000  0.081

=====

Entry 16:
This record from Alexandria describes crystalline Tb3PrDy2Bi6 at its relaxed geometry. The functional is PBE.

## Properties
ΔH_f (0 K): -882 meV/atom
Energy: -5.146 eV per atom

a = 19.664 Å, b = 4.514 Å, c = 9.026 Å
α = 90.00°, β = 103.22°, γ = 90.00°
Space group C2/m (No. 12)
Symmetry-distinct sites (fractional):
Tb  0.000  0.000  0.000
Tb  0.165  0.500  0.332
Pr  0.000  0.000  0.500
Dy  0.167  0.500  0.834
Bi  0.001  0.500  0.757
Bi  0.167  0.000  0.082
Bi  0.170  0.000  0.585

=====

Entry 17:
This record from Alexandria describes crystalline Tb2PrDyBi4 at its relaxed geometry. The functional is PBE.

## Properties
ΔH_f (0 K): -889 meV/atom
Energy: -5.160 eV per atom

a = 7.840 Å, b = 4.530 Å, c = 7.841 Å
α = 90.00°, β = 109.48°, γ = 90.00°
Space group P2/m (No. 10)
Symmetry-distinct sites (fractional):
Tb  0.000  0.000  0.000
Tb  0.500  0.500  0.000
Pr  0.000  0.500  0.500
Dy  0.500  0.000  0.500
Bi  0.254  0.500  0.248
Bi  0.257  0.000  0.756

=====

Entry 18:
This record from Alexandria describes crystalline PrDyBiTe at its relaxed geometry. The functional is PBE.

## Properties
Energy: -5.255 eV per atom
Energy relative to the elements, uncorrected: -1.15 eV per atom

a = 4.5068 Å, b = 4.5068 Å, c = 22.0453 Å
α = 90.00°, β = 90.00°, γ = 120.00°
Space group R3m (No. 160, hexagonal axes)
Symmetry-distinct sites (fractional):
Pr  0.0000  0.0000  0.0000
Dy  0.0000  0.0000  0.4992
Bi  0.0000  0.0000  0.7536
Te  0.0000  0.0000  0.2452

=====

Entry 19:
This record from Alexandria describes crystalline PrDy2ThBi5 at its relaxed geometry. The functional is PBE.

## Properties
ΔH_f (0 K): 189 meV/atom
Energy: -4.345 eV per atom

a = 5.712 Å, b = 5.712 Å, c = 12.133 Å
α = 90.00°, β = 90.00°, γ = 90.00°
Space group P4/mmm (No. 123)
Symmetry-distinct sites (fractional):
Pr  0.000  0.000  0.000
Dy  0.500  0.500  0.264
Th  0.000  0.000  0.500
Bi  0.000  0.000  0.246
Bi  0.000  0.500  0.500
Bi  0.500  0.500  0.000

=====

Entry 20:
This record from Alexandria describes crystalline PrDy3Th2Bi6 at its relaxed geometry. The functional is PBE.

## Properties
ΔH_f (0 K): -783 meV/atom
Energy: -5.509 eV per atom

a = 19.785 Å, b = 4.553 Å, c = 9.073 Å
α = 90.00°, β = 103.00°, γ = 90.00°
Space group C2/m (No. 12)
Symmetry-distinct sites (fractional):
Pr  0.000  0.000  0.000
Dy  0.000  0.000  0.500
Dy  0.165  0.500  0.833
Th  0.166  0.500  0.331
Bi  0.002  0.500  0.743
Bi  0.165  0.000  0.588
Bi  0.170  0.000  0.079

=====

Entry 21:
This record from Alexandria describes crystalline PrDy2ThBi4 at its relaxed geometry. The functional is PBE.

## Properties
ΔH_f (0 K): -822 meV/atom
Energy: -5.438 eV per atom

a = 7.852 Å, b = 4.557 Å, c = 7.884 Å
α = 90.00°, β = 109.50°, γ = 90.00°
Space group P2/m (No. 10)
Symmetry-distinct sites (fractional):
Pr  0.000  0.000  0.000
Dy  0.500  0.000  0.500
Dy  0.500  0.500  0.000
Th  0.000  0.500  0.500
Bi  0.259  0.000  0.752
Bi  0.260  0.500  0.255

=====

Entry 22:
This record from Alexandria describes crystalline Pr3DyTh2Bi6 at its relaxed geometry. The functional is PBE.

## Properties
ΔH_f (0 K): -822 meV/atom
Energy: -5.577 eV per atom

a = 20.071 Å, b = 4.604 Å, c = 9.201 Å
α = 90.00°, β = 103.46°, γ = 90.00°
Space group C2/m (No. 12)
Symmetry-distinct sites (fractional):
Pr  0.000  0.000  0.000
Pr  0.167  0.500  0.334
Dy  0.000  0.000  0.500
Th  0.165  0.500  0.831
Bi  0.000  0.500  0.258
Bi  0.164  0.000  0.583
Bi  0.168  0.000  0.082

=====

Entry 23:
This record from Alexandria describes crystalline PrDyTh2Bi4 at its relaxed geometry. The functional is PBE.

## Properties
ΔH_f (0 K): -736 meV/atom
Energy: -5.705 eV per atom

a = 7.910 Å, b = 4.588 Å, c = 7.944 Å
α = 90.00°, β = 109.64°, γ = 90.00°
Space group P2/m (No. 10)
Symmetry-distinct sites (fractional):
Pr  0.000  0.000  0.000
Dy  0.000  0.500  0.500
Th  0.500  0.000  0.500
Th  0.500  0.500  0.000
Bi  0.245  0.000  0.744
Bi  0.248  0.500  0.254

=====

Entry 24:
This record from Alexandria describes crystalline Pr2DyTh3Bi6 at its relaxed geometry. The functional is PBE.

## Properties
ΔH_f (0 K): -749 meV/atom
Energy: -5.725 eV per atom

a = 20.024 Å, b = 4.595 Å, c = 9.172 Å
α = 90.00°, β = 103.18°, γ = 90.00°
Space group C2/m (No. 12)
Symmetry-distinct sites (fractional):
Pr  0.167  0.000  0.333
Dy  0.000  0.500  0.000
Th  0.000  0.500  0.500
Th  0.169  0.000  0.834
Bi  0.001  0.000  0.757
Bi  0.164  0.500  0.080
Bi  0.166  0.500  0.584